Here is a relaxed LiTlAs2 crystal from the Alexandria database. Energies are from PBE-GGA.

Summary:
The crystal system is monoclinic. The formation energy comes out at -0.0026 eV per atom.

Geometry as CIF:
```
data_LiTlAs2
_chemical_formula_sum 'Li2 Tl2 As4'
_cell_length_a 5.7338
_cell_length_b 9.6285
_cell_length_c 3.1511
_cell_angle_alpha 90.00
_cell_angle_beta 90.61
_cell_angle_gamma 90.00
_symmetry_space_group_name_H-M 'C 1 2/m 1'
_symmetry_Int_Tables_number 12
loop_
_symmetry_equiv_pos_as_xyz
'x,y,z'
'-x,-y,-z'
'-x,y,-z'
'x,-y,z'
'x+1/2,y+1/2,z'
'-x+1/2,-y+1/2,-z'
'-x+1/2,y+1/2,-z'
'x+1/2,-y+1/2,z'
loop_
_atom_site_label
_atom_site_fract_x
_atom_site_fract_y
_atom_site_fract_z
Li1 0.0000 0.0000 0.0000
Tl1 0.0000 0.5000 0.0000
As1 0.2500 0.2500 0.5000
```